Below is an optimized crystal structure of CeEr4TmS8, with properties calculated at the PBE-GGA level.

```
data_CeEr4TmS8
_cell_length_a 8.0418
_cell_length_b 8.0418
_cell_length_c 19.6681
_cell_angle_alpha 90.00
_cell_angle_beta 90.00
_cell_angle_gamma 120.00
_space_group_name_H-M_alt 'R 3 m'
_space_group_IT_number 160
_space_group_name_Hall 'R 3 -2"'
loop_
_atom_site_label
_atom_site_type_symbol
_atom_site_fract_x
_atom_site_fract_y
_atom_site_fract_z
_atom_site_occupancy
Ce1 Ce 0.0000 0.0000 0.0000 1
Er1 Er 0.0000 0.0000 0.2496 1
Er2 Er 0.0004 0.5002 0.1248 1
Tm1 Tm 0.0000 0.0000 0.6248 1
S1 S 0.0000 0.0000 0.3818 1
S2 S 0.0000 0.0000 0.8625 1
S3 S 0.0339 0.5170 0.3786 1
S4 S 0.1768 0.3537 0.2062 1
```

Values from the calculation:
- DFT total energy: -265.05 eV/cell
- D(E_F): 12.293 states/eV/f.u.